[1]
# PBE BaGaCu2, optimized geometry
# ΔE_f, eV/atom: -0.219
# Uncorrected energy, eV/f.u.: -14.02
# V, Å³/atom: 23.1
data_BaGaCu2
_chemical_formula_sum 'Ba1 Ga1 Cu2'
_symmetry_space_group_name_H-M 'P 1'
_symmetry_Int_Tables_number 1
_symmetry_space_group_name_Hall 'P 1'
_cell_length_a 6.249
_cell_length_b 6.249
_cell_length_c 6.249
_cell_angle_alpha 40.40
_cell_angle_beta 40.40
_cell_angle_gamma 40.40
loop_
_atom_site_label
_atom_site_fract_x
_atom_site_fract_y
_atom_site_fract_z
Cu1 0.187 0.187 0.187
Cu2 0.813 0.813 0.813
Ba1 0.000 0.000 0.000
Ga1 0.500 0.500 0.500

---

[2]
# PBE Ba4GaCu3, optimized geometry
# ΔE_f, eV/atom: -0.094
# Uncorrected energy, eV/f.u.: -23.76
# V, Å³/atom: 33.8
data_Ba4GaCu3
_chemical_formula_sum 'Ba4 Ga1 Cu3'
_symmetry_space_group_name_H-M 'P 1'
_symmetry_Int_Tables_number 1
_symmetry_space_group_name_Hall 'P 1'
_cell_length_a 4.800
_cell_length_b 4.607
_cell_length_c 12.214
_cell_angle_alpha 90.00
_cell_angle_beta 90.00
_cell_angle_gamma 90.00
loop_
_atom_site_label
_atom_site_fract_x
_atom_site_fract_y
_atom_site_fract_z
Ga1 0.500 0.500 0.051
Cu1 0.500 0.000 0.954
Cu2 0.000 0.500 0.547
Cu3 0.000 0.000 0.453
Ba1 0.000 0.500 0.856
Ba2 0.000 0.000 0.142
Ba3 0.500 0.500 0.360
Ba4 0.500 0.000 0.636

---

[3]
# PBE BaGa2Cu, optimized geometry
# ΔE_f, eV/atom: -0.312
# Uncorrected energy, eV/f.u.: -13.32
# V, Å³/atom: 24.4
data_BaGa2Cu
_chemical_formula_sum 'Ba1 Ga2 Cu1'
_symmetry_space_group_name_H-M 'P 1'
_symmetry_Int_Tables_number 1
_symmetry_space_group_name_Hall 'P 1'
_cell_length_a 4.302
_cell_length_b 4.302
_cell_length_c 6.585
_cell_angle_alpha 70.94
_cell_angle_beta 70.94
_cell_angle_gamma 60.00
loop_
_atom_site_label
_atom_site_fract_x
_atom_site_fract_y
_atom_site_fract_z
Cu1 0.500 0.500 0.500
Ba1 0.000 0.000 0.000
Ga1 0.201 0.201 0.396
Ga2 0.799 0.799 0.604

---

[4]
# PBE BaGa2Cu, optimized geometry
# ΔE_f, eV/atom: -0.197
# Uncorrected energy, eV/f.u.: -12.86
# V, Å³/atom: 28.1
data_BaGa2Cu
_chemical_formula_sum 'Ba2 Ga4 Cu2'
_symmetry_space_group_name_H-M 'P 1'
_symmetry_Int_Tables_number 1
_symmetry_space_group_name_Hall 'P 1'
_cell_length_a 5.229
_cell_length_b 5.229
_cell_length_c 9.011
_cell_angle_alpha 73.13
_cell_angle_beta 73.13
_cell_angle_gamma 90.00
loop_
_atom_site_label
_atom_site_fract_x
_atom_site_fract_y
_atom_site_fract_z
Ga1 0.375 0.625 0.750
Ga2 0.375 0.625 0.250
Ga3 0.375 0.125 0.250
Ga4 0.875 0.625 0.750
Ba1 0.000 0.000 0.000
Ba2 0.750 0.250 0.500
Cu1 0.250 0.750 0.500
Cu2 0.500 0.500 0.000

---

[5]
# PBE BaGa4Cu4, optimized geometry
# ΔE_f, eV/atom: -0.189
# Uncorrected energy, eV/f.u.: -32.12
# V, Å³/atom: 18.8
data_BaGa4Cu4
_chemical_formula_sum 'Ba2 Ga8 Cu8'
_symmetry_space_group_name_H-M 'P 1'
_symmetry_Int_Tables_number 1
_symmetry_space_group_name_Hall 'P 1'
_cell_length_a 4.528
_cell_length_b 8.653
_cell_length_c 8.653
_cell_angle_alpha 90.00
_cell_angle_beta 90.00
_cell_angle_gamma 90.00
loop_
_atom_site_label
_atom_site_fract_x
_atom_site_fract_y
_atom_site_fract_z
Cu1 0.000 0.795 0.675
Cu2 0.500 0.825 0.295
Cu3 0.000 0.205 0.325
Cu4 0.500 0.705 0.825
Cu5 0.000 0.675 0.205
Cu6 0.500 0.175 0.705
Cu7 0.500 0.295 0.175
Cu8 0.000 0.325 0.795
Ga1 0.500 0.621 0.101
Ga2 0.500 0.101 0.379
Ga3 0.000 0.601 0.879
Ga4 0.000 0.399 0.121
Ga5 0.500 0.379 0.899
Ga6 0.000 0.879 0.399
Ga7 0.500 0.899 0.621
Ga8 0.000 0.121 0.601
Ba1 0.000 0.000 0.000
Ba2 0.500 0.500 0.500

---

[6]
# PBE BaGa5Cu4, optimized geometry
# ΔE_f, eV/atom: -0.143
# Uncorrected energy, eV/f.u.: -34.87
# V, Å³/atom: 20.0
data_BaGa5Cu4
_chemical_formula_sum 'Ba2 Ga10 Cu8'
_symmetry_space_group_name_H-M 'P 1'
_symmetry_Int_Tables_number 1
_symmetry_space_group_name_Hall 'P 1'
_cell_length_a 9.017
_cell_length_b 6.668
_cell_length_c 6.638
_cell_angle_alpha 90.00
_cell_angle_beta 90.00
_cell_angle_gamma 90.00
loop_
_atom_site_label
_atom_site_fract_x
_atom_site_fract_y
_atom_site_fract_z
Ga1 0.291 0.204 0.297
Ga2 0.291 0.204 0.703
Ga3 0.709 0.704 0.203
Ga4 0.291 0.796 0.703
Ga5 0.709 0.296 0.797
Ga6 0.190 0.500 0.000
Ga7 0.810 0.000 0.500
Ga8 0.709 0.704 0.797
Ga9 0.291 0.796 0.297
Ga10 0.709 0.296 0.203
Cu1 0.532 0.316 0.500
Cu2 0.468 0.816 0.000
Cu3 0.532 0.684 0.500
Cu4 0.454 0.500 0.810
Cu5 0.454 0.500 0.190
Cu6 0.468 0.184 0.000
Cu7 0.546 0.000 0.310
Cu8 0.546 0.000 0.690
Ba1 0.000 0.000 0.000
Ba2 0.000 0.500 0.500

---

[7]
# PBE BaGa2Cu6, optimized geometry
# ΔE_f, eV/atom: 0.041
# Uncorrected energy, eV/f.u.: -32.19
# V, Å³/atom: 18.0
data_BaGa2Cu6
_chemical_formula_sum 'Ba1 Ga2 Cu6'
_symmetry_space_group_name_H-M 'P 1'
_symmetry_Int_Tables_number 1
_symmetry_space_group_name_Hall 'P 1'
_cell_length_a 4.234
_cell_length_b 6.853
_cell_length_c 6.853
_cell_angle_alpha 60.60
_cell_angle_beta 72.01
_cell_angle_gamma 72.01
loop_
_atom_site_label
_atom_site_fract_x
_atom_site_fract_y
_atom_site_fract_z
Ga1 0.855 0.645 0.645
Ga2 0.145 0.355 0.355
Cu1 0.500 0.336 0.664
Cu2 0.715 0.479 0.092
Cu3 0.285 0.521 0.908
Cu4 0.500 0.664 0.336
Cu5 0.715 0.092 0.479
Cu6 0.285 0.908 0.521
Ba1 0.000 0.000 0.000

---

[8]
# PBE BaGa12Cu4, optimized geometry
# ΔE_f, eV/atom: -0.020
# Uncorrected energy, eV/f.u.: -54.98
# V, Å³/atom: 19.9
data_BaGa12Cu4
_chemical_formula_sum 'Ba1 Ga12 Cu4'
_symmetry_space_group_name_H-M 'P 1'
_symmetry_Int_Tables_number 1
_symmetry_space_group_name_Hall 'P 1'
_cell_length_a 7.603
_cell_length_b 7.603
_cell_length_c 7.603
_cell_angle_alpha 109.47
_cell_angle_beta 109.47
_cell_angle_gamma 109.47
loop_
_atom_site_label
_atom_site_fract_x
_atom_site_fract_y
_atom_site_fract_z
Cu1 0.500 0.000 0.000
Cu2 0.500 0.500 0.500
Cu3 0.000 0.000 0.500
Cu4 0.000 0.500 0.000
Ba1 0.000 0.000 0.000
Ga1 0.649 0.813 0.164
Ga2 0.836 0.649 0.485
Ga3 0.164 0.351 0.515
Ga4 0.351 0.515 0.164
Ga5 0.164 0.649 0.813
Ga6 0.649 0.485 0.836
Ga7 0.813 0.164 0.649
Ga8 0.351 0.187 0.836
Ga9 0.187 0.836 0.351
Ga10 0.515 0.164 0.351
Ga11 0.485 0.836 0.649
Ga12 0.836 0.351 0.187